No. 1
A relaxed structure of PmErBi. Source: the Open Quantum Materials Database, functional PBE.

## Properties
Energy above the lowest structure with this stoichiometry, eV/atom: 0.0000
V, Å³/f.u.: 100.0
VASP energy, eV/atom: -4.774

```
data_PmErBi
_chemical_formula_sum 'Pm1 Er1 Bi1'
_cell_length_a 5.209
_cell_length_b 5.209
_cell_length_c 5.209
_cell_angle_alpha 60.00
_cell_angle_beta 60.00
_cell_angle_gamma 60.00
_space_group_name_H-M_alt 'P 1'
_space_group_IT_number 1
loop_
_space_group_symop_operation_xyz
'x,y,z'
loop_
_atom_site_label
_atom_site_fract_x
_atom_site_fract_y
_atom_site_fract_z
Pm1 0.000 0.000 0.000
Er1 0.500 0.500 0.500
Bi1 0.750 0.750 0.750
```


No. 2
A relaxed structure of Nb4Te12I. Source: the Open Quantum Materials Database, functional PBE.

## Properties
V, Å³/f.u.: 564.7
VASP energy, eV/atom: -4.847

```
data_Nb4Te12I
_chemical_formula_sum 'Nb8 Te24 I2'
_cell_length_a 11.290
_cell_length_b 11.290
_cell_length_c 19.808
_cell_angle_alpha 120.41
_cell_angle_beta 120.41
_cell_angle_gamma 31.74
_space_group_name_H-M_alt 'P 1'
_space_group_IT_number 1
loop_
_space_group_symop_operation_xyz
'x,y,z'
loop_
_atom_site_label
_atom_site_fract_x
_atom_site_fract_y
_atom_site_fract_z
Nb1 0.022 0.111 0.366
Nb2 0.111 0.022 0.866
Nb3 0.232 0.601 0.766
Nb4 0.399 0.768 0.734
Nb5 0.601 0.232 0.266
Nb6 0.768 0.399 0.234
Nb7 0.889 0.978 0.134
Nb8 0.978 0.889 0.634
Te1 0.059 0.068 0.624
Te2 0.068 0.059 0.124
Te3 0.085 0.642 0.011
Te4 0.174 0.189 0.830
Te5 0.189 0.174 0.330
Te6 0.196 0.461 0.593
Te7 0.239 0.425 0.282
Te8 0.341 0.606 0.566
Te9 0.358 0.915 0.489
Te10 0.394 0.659 0.934
Te11 0.425 0.239 0.782
Te12 0.461 0.196 0.093
Te13 0.539 0.804 0.907
Te14 0.575 0.761 0.218
Te15 0.606 0.341 0.066
Te16 0.642 0.085 0.511
Te17 0.659 0.394 0.434
Te18 0.761 0.575 0.718
Te19 0.804 0.539 0.407
Te20 0.811 0.826 0.670
Te21 0.826 0.811 0.170
Te22 0.915 0.358 0.989
Te23 0.932 0.941 0.876
Te24 0.941 0.932 0.376
I1 0.319 0.681 0.250
I2 0.681 0.319 0.750
```


> Look up the V of the second one.

564.7 Å³/f.u.


Copy entry 2 word for word.
A relaxed structure of Nb4Te12I. Source: the Open Quantum Materials Database, functional PBE.

## Properties
V, Å³/f.u.: 564.7
VASP energy, eV/atom: -4.847

```
data_Nb4Te12I
_chemical_formula_sum 'Nb8 Te24 I2'
_cell_length_a 11.290
_cell_length_b 11.290
_cell_length_c 19.808
_cell_angle_alpha 120.41
_cell_angle_beta 120.41
_cell_angle_gamma 31.74
_space_group_name_H-M_alt 'P 1'
_space_group_IT_number 1
loop_
_space_group_symop_operation_xyz
'x,y,z'
loop_
_atom_site_label
_atom_site_fract_x
_atom_site_fract_y
_atom_site_fract_z
Nb1 0.022 0.111 0.366
Nb2 0.111 0.022 0.866
Nb3 0.232 0.601 0.766
Nb4 0.399 0.768 0.734
Nb5 0.601 0.232 0.266
Nb6 0.768 0.399 0.234
Nb7 0.889 0.978 0.134
Nb8 0.978 0.889 0.634
Te1 0.059 0.068 0.624
Te2 0.068 0.059 0.124
Te3 0.085 0.642 0.011
Te4 0.174 0.189 0.830
Te5 0.189 0.174 0.330
Te6 0.196 0.461 0.593
Te7 0.239 0.425 0.282
Te8 0.341 0.606 0.566
Te9 0.358 0.915 0.489
Te10 0.394 0.659 0.934
Te11 0.425 0.239 0.782
Te12 0.461 0.196 0.093
Te13 0.539 0.804 0.907
Te14 0.575 0.761 0.218
Te15 0.606 0.341 0.066
Te16 0.642 0.085 0.511
Te17 0.659 0.394 0.434
Te18 0.761 0.575 0.718
Te19 0.804 0.539 0.407
Te20 0.811 0.826 0.670
Te21 0.826 0.811 0.170
Te22 0.915 0.358 0.989
Te23 0.932 0.941 0.876
Te24 0.941 0.932 0.376
I1 0.319 0.681 0.250
I2 0.681 0.319 0.750
```


> Among the records above, which one has the highest VASP energy?

PmErBi


> Look up the V of the first one.

100.0 Å³/f.u.